First-principles (PBE) data for AcFeGe2 after structural relaxation, as listed in Alexandria.

a b c (Å): 4.1930 4.1930 6.1196
angles (deg): 69.97 69.97 60.00
Closest atoms and distances in Å follow each position.
Element x y z (fractional)
Ac (0.0000, 0.0000, 0.0000)  8 Ge 3.20-3.53
Ge (0.2095, 0.2095, 0.3716)  3 Fe 2.53, 3 Ge 2.82
Ge (0.7905, 0.7905, 0.6284)  3 Fe 2.53, 3 Ge 2.82
Fe (0.5000, 0.5000, 0.5000)  6 Ge 2.53

Output
For the calculated formation energy, the calculation gives -0.393 eV/atom. The symmetry is R-3m (166). Its energy relative to the lowest polymorph listed for this composition is 74 meV per atom.

=====

First-principles (PBE) data for La6SmHg3 after structural relaxation, as listed in Alexandria.

a b c (Å): 5.5944 9.6191 12.8649
angles (deg): 109.54 90.00 90.00
Closest atoms and distances in Å follow each position.
Element x y z (fractional)
La (0.7500, 0.8837, 0.4586)  4 Hg 3.39-3.62, 6 La 3.42-3.63, 1 Sm 3.60
La (0.7500, 0.7245, 0.9022)  2 Hg 3.22-3.31, 1 La 3.29
La (0.2500, 0.2755, 0.0978)  2 Hg 3.22-3.31, 1 La 3.29
La (0.7500, 0.4168, 0.9601)  4 La 3.22-3.29, 4 Hg 3.24-3.35
Hg (0.7500, 0.0720, 0.9389)  6 La 3.22-3.56
La (0.2500, 0.1163, 0.5414)  4 Hg 3.39-3.62, 6 La 3.42-3.63, 1 Sm 3.60
La (0.7500, 0.1887, 0.7038)  4 Hg 3.23-3.56, 4 La 3.29-3.52
Hg (0.2500, 0.2566, 0.8365)  1 Sm 3.10, 7 La 3.20-3.35
Hg (0.2500, 0.9280, 0.0611)  6 La 3.22-3.56
La (0.2500, 0.3804, 0.3953)  3 Hg 3.25-3.29, 2 Sm 3.58, 2 La 3.62-3.63
La (0.7500, 0.0914, 0.2099)  5 Hg 3.20-3.46
Sm (0.2500, 0.4943, 0.7229)  1 Hg 3.10
Sm (0.7500, 0.5057, 0.2771)  1 Hg 3.10
Hg (0.2500, 0.7340, 0.5260)  8 La 3.25-3.62
Hg (0.7500, 0.7434, 0.1635)  1 Sm 3.10, 7 La 3.20-3.35
La (0.2500, 0.5832, 0.0399)  4 La 3.22-3.29, 4 Hg 3.24-3.35
La (0.2500, 0.8113, 0.2962)  4 Hg 3.23-3.56, 4 La 3.29-3.52
Hg (0.7500, 0.2660, 0.4740)  8 La 3.25-3.62
La (0.7500, 0.6196, 0.6047)  3 Hg 3.25-3.29, 2 Sm 3.58, 2 La 3.62-3.63
La (0.2500, 0.9086, 0.7901)  5 Hg 3.20-3.46

Output
For the calculated formation energy, the calculation gives -0.217 eV/atom. The symmetry is P2_1/m (11).

=====

First-principles (PBE) data for BeCr2Cd after structural relaxation, as listed in Alexandria.

a b c (Å): 4.3433 4.3433 5.0472
angles (deg): 85.53 85.53 34.21
Closest atoms and distances in Å follow each position.
Element x y z (fractional)
Cd (0.7517, 0.7517, 0.7318)  3 Be 2.54-2.72, 2 Cd 2.55, 3 Cr 2.76-2.79
Cr (0.2415, 0.2415, 0.2414)  1 Cr 2.26
Be (0.5050, 0.5050, 0.4663)  5 Cr 2.42-2.55, 1 Cd 2.54, 2 Be 2.55
Cr (0.0017, 0.0017, 0.0605)  1 Cr 2.26, 2 Be 2.42

Output
For the calculated formation energy, the calculation gives 0.500 eV/atom. The symmetry is Cm (8). Its energy relative to the lowest polymorph listed for this composition is 253 meV per atom.

=====

First-principles (PBE) data for KPtCl4 after structural relaxation, as listed in Alexandria.

a b c (Å): 7.4254 7.4254 8.8048
angles (deg): 74.50 74.50 58.99
Closest atoms and distances in Å follow each position.
Element x y z (fractional)
Cl (0.8642, 0.9191, 0.1953)  1 Pt 2.29
K (0.0000, 0.5000, 0.5000)  8 Cl 3.29-3.42
Cl (0.9191, 0.8642, 0.6953)  1 Pt 2.29
Pt (0.7510, 0.2490, 0.2500)  4 Cl 2.29
Cl (0.4212, 0.3622, 0.1952)  1 Pt 2.29
Cl (0.1358, 0.0809, 0.8047)  1 Pt 2.29
Cl (0.0809, 0.1358, 0.3047)  1 Pt 2.29
Cl (0.3622, 0.4212, 0.6952)  1 Pt 2.29
Pt (0.2490, 0.7510, 0.7500)  4 Cl 2.29
Cl (0.6378, 0.5788, 0.3048)  1 Pt 2.29
K (0.5000, 0.0000, 0.0000)  8 Cl 3.29-3.42
Cl (0.5788, 0.6378, 0.8048)  1 Pt 2.29

Output
Its formation energy (no corrections) is -0.871 eV/atom. The symmetry is C2/c (15). Its energy relative to the lowest polymorph listed for this composition is 0 meV per atom.

=====

First-principles (PBE) data for Rb4IN12 after structural relaxation, as listed in Alexandria.

a b c (Å): 8.2407 8.2409 8.2412
angles (deg): 109.47 109.47 109.47
Closest atoms and distances in Å follow each position.
Element x y z (fractional)
Rb (0.5000, 0.5000, 0.5000)  6 N 3.12
N (0.1549, 0.5603, 0.7152)  1 N 1.15
N (0.4397, 0.2848, 0.8451)  1 N 1.15
N (0.5603, 0.7152, 0.1549)  1 N 1.15
Rb (0.0000, 0.0000, 0.5000)  6 N 3.12
N (0.7152, 0.1549, 0.5603)  1 N 1.15
Rb (0.0000, 0.5000, 0.0000)  6 N 3.12
N (0.5603, 0.4054, 0.8451)  1 N 1.15
N (0.1549, 0.4397, 0.5946)  1 N 1.15
N (0.4054, 0.8451, 0.5603)  1 N 1.15
N (0.5946, 0.1549, 0.4397)  1 N 1.15
N (0.8451, 0.4397, 0.2848)  1 N 1.15
Rb (0.5000, 0.0000, 0.0000)  6 N 3.12
I (0.0000, 0.0000, 0.0000)  8 Rb 4.12, 12 N 4.44
N (0.2848, 0.8451, 0.4397)  1 N 1.15
N (0.8451, 0.5603, 0.4054)  1 N 1.15
N (0.4397, 0.5946, 0.1549)  1 N 1.15

Output
Its formation energy (no corrections) is -0.211 eV/atom. The symmetry is Im-3 (204).

=====

First-principles (PBE) data for SrCaLa2Cu after structural relaxation, as listed in Alexandria.

a b c (Å): 5.7031 5.7031 6.1220
angles (deg): 90.00 90.00 90.00
Closest atoms and distances in Å follow each position.
Element x y z (fractional)
Cu (0.0000, 0.0000, 0.0000)  4 La 2.85, 2 Sr 3.06
Ca (0.5000, 0.5000, 0.5000)  4 Sr 4.03, 8 La 4.18
Sr (0.0000, 0.0000, 0.5000)  2 Cu 3.06
La (0.0000, 0.5000, 0.0000)  2 Cu 2.85
La (0.5000, 0.0000, 0.0000)  2 Cu 2.85

Output
For the calculated formation energy, the calculation gives 0.118 eV/atom. The symmetry is P4/mmm (123). Its energy relative to the lowest polymorph listed for this composition is 42 meV per atom.

=====

First-principles (PBE) data for AcCePmPb after structural relaxation, as listed in Alexandria.

a b c (Å): 5.6851 5.6851 5.6851
angles (deg): 60.00 60.00 60.00
Closest atoms and distances in Å follow each position.
Element x y z (fractional)
Ce (0.5000, 0.5000, 0.5000)  4 Ac 3.48, 4 Pb 3.48
Pm (0.0000, 0.0000, 0.0000)  4 Ac 3.48, 4 Pb 3.48
Ac (0.7500, 0.7500, 0.7500)  4 Ce 3.48, 4 Pm 3.48
Pb (0.2500, 0.2500, 0.2500)  4 Ce 3.48, 4 Pm 3.48

Output
For the calculated formation energy, the calculation gives -0.058 eV/atom. The symmetry is F-43m (216).

=====

First-principles (PBE) data for Hf4SnP after structural relaxation, as listed in Alexandria.

a b c (Å): 5.9184 6.9782 7.8058
angles (deg): 107.70 102.15 112.16
Closest atoms and distances in Å follow each position.
Element x y z (fractional)
P (0.1862, 0.9362, 0.8723)  6 Hf 2.48-2.60
Hf (0.0310, 0.8211, 0.1294)  2 P 2.48-2.59
Hf (0.9690, 0.1789, 0.8706)  2 P 2.48-2.59
Sn (0.6428, 0.3928, 0.7856)  8 Hf 2.94-3.08
Hf (0.5984, 0.3084, 0.1294)  2 P 2.48-2.59
Hf (0.2443, 0.3031, 0.4326)  1 P 2.60, 1 Hf 2.91
Hf (0.7557, 0.6969, 0.5674)  1 P 2.60, 1 Hf 2.91
Sn (0.3572, 0.6072, 0.2144)  8 Hf 2.94-3.08
Hf (0.4016, 0.6916, 0.8706)  2 P 2.48-2.59
P (0.8138, 0.0638, 0.1277)  6 Hf 2.48-2.60
Hf (0.3117, 0.8705, 0.5674)  1 P 2.60, 1 Hf 2.91
Hf (0.6883, 0.1295, 0.4326)  1 P 2.60, 1 Hf 2.91

Output
For the calculated formation energy, the calculation gives -0.408 eV/atom. The symmetry is C2/c (15).

=====

First-principles (PBE) data for Pr6NdSm12 after structural relaxation, as listed in Alexandria.

a b c (Å): 8.7412 8.7412 8.7412
angles (deg): 89.34 89.34 89.34
Closest atoms and distances in Å follow each position.
Element x y z (fractional)
Sm (0.5361, 0.4368, 0.7771)  6 Sm 3.34-3.73, 3 Pr 3.43-3.49
Sm (0.8026, 0.6416, 0.9832)  4 Sm 3.48-3.67, 4 Pr 3.57-3.75, 1 Nd 3.60
Sm (0.7771, 0.5361, 0.4368)  6 Sm 3.34-3.73, 3 Pr 3.43-3.49
Sm (0.4639, 0.5632, 0.2229)  6 Sm 3.34-3.73, 3 Pr 3.43-3.49
Sm (0.1974, 0.3584, 0.0168)  4 Sm 3.48-3.67, 4 Pr 3.57-3.75, 1 Nd 3.60
Sm (0.5632, 0.2229, 0.4639)  6 Sm 3.34-3.73, 3 Pr 3.43-3.49
Pr (0.3062, 0.7381, 0.9071)  7 Sm 3.43-3.75, 1 Nd 3.59, 2 Pr 3.62
Sm (0.3584, 0.0168, 0.1974)  4 Sm 3.48-3.67, 4 Pr 3.57-3.75, 1 Nd 3.60
Sm (0.9832, 0.8026, 0.6416)  4 Sm 3.48-3.67, 4 Pr 3.57-3.75, 1 Nd 3.60
Pr (0.7381, 0.9071, 0.3062)  7 Sm 3.43-3.75, 1 Nd 3.59, 2 Pr 3.62
Pr (0.0929, 0.6938, 0.2619)  7 Sm 3.43-3.75, 1 Nd 3.59, 2 Pr 3.62
Nd (0.0000, 0.0000, 0.0000)  6 Pr 3.59, 6 Sm 3.60
Sm (0.4368, 0.7771, 0.5361)  6 Sm 3.34-3.73, 3 Pr 3.43-3.49
Pr (0.9071, 0.3062, 0.7381)  7 Sm 3.43-3.75, 1 Nd 3.59, 2 Pr 3.62
Sm (0.6416, 0.9832, 0.8026)  4 Sm 3.48-3.67, 4 Pr 3.57-3.75, 1 Nd 3.60
Pr (0.6938, 0.2619, 0.0929)  7 Sm 3.43-3.75, 1 Nd 3.59, 2 Pr 3.62
Pr (0.2619, 0.0929, 0.6938)  7 Sm 3.43-3.75, 1 Nd 3.59, 2 Pr 3.62
Sm (0.2229, 0.4639, 0.5632)  6 Sm 3.34-3.73, 3 Pr 3.43-3.49
Sm (0.0168, 0.1974, 0.3584)  4 Sm 3.48-3.67, 4 Pr 3.57-3.75, 1 Nd 3.60

Output
For the calculated formation energy, the calculation gives 0.135 eV/atom. The symmetry is R-3 (148). Its energy relative to the lowest polymorph listed for this composition is 0 meV per atom.

=====

First-principles (PBE) data for BiB2As after structural relaxation, as listed in Alexandria.

a b c (Å): 4.5058 4.5058 4.5058
angles (deg): 60.00 60.00 60.00
Closest atoms and distances in Å follow each position.
Element x y z (fractional)
Bi (0.5000, 0.5000, 0.5000)  8 B 2.76
B (0.7500, 0.7500, 0.7500)  4 As 2.76, 4 Bi 2.76
B (0.2500, 0.2500, 0.2500)  4 As 2.76, 4 Bi 2.76
As (0.0000, 0.0000, 0.0000)  8 B 2.76

Output
For the calculated formation energy, the calculation gives 1.628 eV/atom. The symmetry is Fm-3m (225). Its energy relative to the lowest polymorph listed for this composition is 1181 meV per atom.

=====

First-principles (PBE) data for NaAcIn4O8 after structural relaxation, as listed in Alexandria.

a b c (Å): 6.7077 6.7077 6.7135
angles (deg): 60.03 60.03 60.00
Closest atoms and distances in Å follow each position.
Element x y z (fractional)
In (0.0025, 0.0025, 0.4991)  6 O 2.15-2.37
In (0.0025, 0.4958, 0.4991)  6 O 2.15-2.37
Ac (0.3814, 0.3814, 0.8557)  4 O 2.31-2.38
Na (0.0005, 0.0005, 0.9985)  6 O 2.34-2.43
O (0.2449, 0.2449, 0.7076)  2 In 2.15, 1 Ac 2.31, 1 Na 2.34
O (0.7529, 0.7529, 0.7413)  4 In 2.23-2.37
In (0.6172, 0.6172, 0.1483)  4 O 2.14-2.23
O (0.2268, 0.7454, 0.2823)  3 In 2.14-2.25
O (0.2449, 0.8025, 0.7076)  2 In 2.15, 1 Ac 2.31, 1 Na 2.34
O (0.2370, 0.2370, 0.2890)  3 In 2.23, 1 Ac 2.38
O (0.8025, 0.2449, 0.7076)  2 In 2.15, 1 Ac 2.31, 1 Na 2.34
In (0.4958, 0.0025, 0.4991)  6 O 2.15-2.37
O (0.7454, 0.2268, 0.2823)  3 In 2.14-2.25
O (0.7454, 0.7454, 0.2823)  3 In 2.14-2.25

Output
Its formation energy (no corrections) is -1.817 eV/atom. The symmetry is R3m (160).